## A
{
  "formula": "Na2Hg4Pb",
  "functional": "GGA-PBE",
  "state": "optimized geometry",
  "spacegroup": "I4/mcm, No. 140",
  "vol_a3_per_atom": 28.0,
  "cell": [[0.206, -7.327, 3.206], [6.975, 2.031, -3.350], [-1.251, 5.673, 5.501]],
  "species": ["Hg", "Hg", "Hg", "Pb", "Na", "Pb", "Na", "Na", "Hg", "Hg", "Hg", "Hg", "Na", "Hg"],
  "fractional_positions": [[0.500, 0.982, 0.186], [0.500, 0.018, 0.814], [0.203, 0.186, 0.686], [0.000, 0.750, 0.750], [0.500, 0.651, 0.849], [0.000, 0.250, 0.250], [0.803, 0.151, 0.651], [0.500, 0.349, 0.151], [0.797, 0.814, 0.314], [0.500, 0.686, 0.482], [0.203, 0.518, 0.018], [0.500, 0.314, 0.518], [0.197, 0.849, 0.349], [0.797, 0.482, 0.982]]
}

***

## B
{
  "formula": "Na2Hg4Pb",
  "functional": "GGA-PBE",
  "state": "optimized geometry",
  "spacegroup": "Fmmm, No. 69",
  "vol_a3_per_atom": 26.8,
  "cell": [[-1.650, -2.133, 7.127], [7.304, 0.848, 1.999], [-3.400, 3.721, -3.774]],
  "species": ["Hg", "Hg", "Hg", "Hg", "Pb", "Na", "Na"],
  "fractional_positions": [[0.698, 0.303, 0.000], [0.302, 0.697, 0.000], [0.700, 0.700, 0.000], [0.300, 0.300, 0.000], [0.000, 0.000, 0.000], [0.250, 0.750, 0.500], [0.750, 0.250, 0.500]]
}

***

In kJ/mol of atoms, relative to the most stable structure: A 3.2; B 0.0.

***

## A
{
  "formula": "NaHg2Pb2",
  "functional": "GGA-PBE",
  "state": "optimized geometry",
  "spacegroup": "P2_1/m, No. 11",
  "vol_a3_per_atom": 28.0,
  "cell": [[5.503, 0.000, 0.000], [0.000, 6.067, 0.722], [0.000, 0.916, 8.493]],
  "species": ["Hg", "Hg", "Hg", "Pb", "Hg", "Pb", "Pb", "Na", "Na", "Pb"],
  "fractional_positions": [[0.250, 0.333, 0.993], [0.750, 0.479, 0.387], [0.750, 0.667, 0.007], [0.250, 0.144, 0.412], [0.250, 0.521, 0.613], [0.250, 0.906, 0.812], [0.750, 0.856, 0.588], [0.250, 0.711, 0.217], [0.750, 0.289, 0.783], [0.750, 0.094, 0.188]]
}

***

## B
{
  "formula": "NaHg2Pb2",
  "functional": "GGA-PBE",
  "state": "optimized geometry",
  "spacegroup": "P4/mbm, No. 127",
  "vol_a3_per_atom": 29.4,
  "cell": [[-5.253, 2.775, 6.209], [-5.656, -6.139, -2.042], [1.750, -2.471, 2.584]],
  "species": ["Hg", "Hg", "Pb", "Hg", "Hg", "Pb", "Pb", "Na", "Na", "Pb"],
  "fractional_positions": [[0.347, 0.847, 0.000], [0.653, 0.153, 0.000], [0.355, 0.145, 0.500], [0.153, 0.347, 0.000], [0.847, 0.653, 0.000], [0.145, 0.645, 0.500], [0.855, 0.355, 0.500], [0.500, 0.500, 0.000], [0.000, 0.000, 0.000], [0.645, 0.855, 0.500]]
}

***

## C
{
  "formula": "NaHg2Pb2",
  "functional": "GGA-PBE",
  "state": "optimized geometry",
  "spacegroup": "I4/mmm, No. 139",
  "vol_a3_per_atom": 31.4,
  "cell": [[-1.215, 4.588, -0.357], [-3.346, -1.134, -3.189], [-6.883, 0.906, 3.349]],
  "species": ["Pb", "Hg", "Hg", "Na", "Pb"],
  "fractional_positions": [[0.250, 0.750, 0.500], [0.600, 0.600, 0.800], [0.400, 0.400, 0.200], [0.000, 0.000, 0.000], [0.750, 0.250, 0.500]]
}

***

In kJ/mol of atoms, relative to the most stable structure: A 0.0; B 4.1; C 4.7.

***

## A
{
  "formula": "NaHg3Pb2",
  "functional": "GGA-PBE",
  "state": "optimized geometry",
  "spacegroup": "Cmmm, No. 65",
  "vol_a3_per_atom": 27.3,
  "cell": [[-2.029, 1.587, -4.387], [-1.430, -6.139, -4.509], [-8.038, -0.678, 3.471]],
  "species": ["Pb", "Hg", "Hg", "Hg", "Pb", "Pb", "Na", "Na", "Hg", "Pb", "Hg", "Hg"],
  "fractional_positions": [[0.000, 0.000, 0.000], [0.828, 0.345, 0.234], [0.172, 0.655, 0.766], [0.500, 0.000, 0.243], [0.333, 0.334, 0.500], [0.000, 0.000, 0.500], [0.662, 0.675, 0.000], [0.338, 0.325, 0.000], [0.500, 0.000, 0.757], [0.667, 0.666, 0.500], [0.828, 0.345, 0.766], [0.172, 0.655, 0.234]]
}

***

## B
{
  "formula": "NaHg3Pb2",
  "functional": "GGA-PBE",
  "state": "optimized geometry",
  "spacegroup": "Cmcm, No. 63",
  "vol_a3_per_atom": 28.9,
  "cell": [[-2.692, 2.339, 0.107], [-4.014, -4.498, -2.682], [-2.279, -5.959, 13.407]],
  "species": ["Hg", "Pb", "Pb", "Na", "Hg", "Pb", "Na", "Hg", "Hg", "Pb", "Hg", "Hg"],
  "fractional_positions": [[0.580, 0.028, 0.161], [0.006, 0.750, 0.012], [0.145, 0.750, 0.290], [0.325, 0.750, 0.651], [0.580, 0.472, 0.161], [0.994, 0.250, 0.988], [0.675, 0.250, 0.349], [0.420, 0.528, 0.839], [0.420, 0.972, 0.839], [0.855, 0.250, 0.710], [0.740, 0.750, 0.480], [0.260, 0.250, 0.520]]
}

***

In kJ/mol of atoms, relative to the most stable structure: A 0.0; B 4.4.

***

## A
{
  "formula": "Na2HgPb2",
  "functional": "GGA-PBE",
  "state": "optimized geometry",
  "spacegroup": "C2/c, No. 15",
  "vol_a3_per_atom": 33.1,
  "cell": [[-0.541, 4.348, 3.131], [5.091, -2.397, 8.839], [13.706, -3.076, 11.271]],
  "species": ["Pb", "Pb", "Pb", "Na", "Hg", "Pb", "Na", "Na", "Na", "Hg"],
  "fractional_positions": [[0.964, 0.446, 0.117], [0.527, 0.054, 0.383], [0.473, 0.946, 0.617], [0.347, 0.039, 0.759], [0.745, 0.250, 0.750], [0.036, 0.554, 0.883], [0.145, 0.461, 0.741], [0.855, 0.539, 0.259], [0.653, 0.961, 0.241], [0.255, 0.750, 0.250]]
}

***

## B
{
  "formula": "Na2HgPb2",
  "functional": "GGA-PBE",
  "state": "optimized geometry",
  "spacegroup": "P4/mbm, No. 127",
  "vol_a3_per_atom": 30.7,
  "cell": [[-5.190, 6.937, -2.780], [-5.869, -5.879, -3.711], [-1.887, -0.132, 3.194]],
  "species": ["Hg", "Pb", "Pb", "Na", "Hg", "Na", "Pb", "Na", "Pb", "Na"],
  "fractional_positions": [[0.500, 0.500, 0.000], [0.618, 0.882, 0.500], [0.882, 0.382, 0.500], [0.319, 0.819, 0.000], [0.000, 0.000, 0.000], [0.181, 0.319, 0.000], [0.382, 0.118, 0.500], [0.681, 0.181, 0.000], [0.118, 0.618, 0.500], [0.819, 0.681, 0.000]]
}

***

## C
{
  "formula": "Na2HgPb2",
  "functional": "GGA-PBE",
  "state": "optimized geometry",
  "spacegroup": "C2/m, No. 12",
  "vol_a3_per_atom": 29.6,
  "cell": [[5.116, 0.000, 0.000], [2.558, 5.236, -0.691], [2.558, -0.725, 11.163]],
  "species": ["Pb", "Pb", "Pb", "Na", "Na", "Na", "Hg", "Pb", "Hg", "Na"],
  "fractional_positions": [[0.847, 0.316, 0.990], [0.180, 0.185, 0.454], [0.153, 0.684, 0.010], [0.567, 0.542, 0.325], [0.433, 0.458, 0.675], [0.631, 0.889, 0.849], [0.096, 0.090, 0.718], [0.820, 0.815, 0.546], [0.904, 0.910, 0.282], [0.369, 0.111, 0.151]]
}

***

In kJ/mol of atoms, relative to the most stable structure: A 4.8; B 10.8; C 0.0.

***

## A
{
  "formula": "Na2HgPb2",
  "functional": "GGA-PBE",
  "state": "optimized geometry",
  "spacegroup": "P4/mbm, No. 127",
  "vol_a3_per_atom": 30.9,
  "cell": [[7.850, 0.000, 0.000], [0.000, 7.850, 0.000], [0.000, 0.000, 5.018]],
  "species": ["Na", "Hg", "Pb", "Pb", "Pb", "Na", "Na", "Hg", "Pb", "Na"],
  "fractional_positions": [[0.163, 0.663, 0.500], [0.000, 0.000, 0.000], [0.858, 0.642, 0.000], [0.142, 0.358, 0.000], [0.642, 0.142, 0.000], [0.663, 0.837, 0.500], [0.337, 0.163, 0.500], [0.500, 0.500, 0.000], [0.358, 0.858, 0.000], [0.837, 0.337, 0.500]]
}

***

## B
{
  "formula": "Na2HgPb2",
  "functional": "GGA-PBE",
  "state": "optimized geometry",
  "spacegroup": "I4/mmm, No. 139",
  "vol_a3_per_atom": 30.5,
  "cell": [[4.428, 0.000, 0.000], [0.000, 4.428, 0.000], [2.214, 2.214, 7.788]],
  "species": ["Na", "Hg", "Pb", "Pb", "Na"],
  "fractional_positions": [[0.750, 0.250, 0.500], [0.000, 0.000, 0.000], [0.405, 0.405, 0.189], [0.595, 0.595, 0.811], [0.250, 0.750, 0.500]]
}

***

In kJ/mol of atoms, relative to the most stable structure: A 0.0; B 18.8.

***

## A
{
  "formula": "Na2Hg7Pb2",
  "functional": "GGA-PBE",
  "state": "optimized geometry",
  "spacegroup": "Imm2, No. 44",
  "vol_a3_per_atom": 28.1,
  "cell": [[3.595, 0.000, 0.000], [1.798, 9.736, -0.278], [1.798, 4.371, 8.704]],
  "species": ["Na", "Hg", "Pb", "Hg", "Hg", "Na", "Pb", "Hg", "Hg", "Hg", "Hg"],
  "fractional_positions": [[0.698, 0.897, 0.707], [0.818, 0.030, 0.335], [0.500, 0.316, 0.684], [0.500, 0.024, 0.976], [0.182, 0.665, 0.970], [0.302, 0.293, 0.103], [0.000, 0.765, 0.235], [0.374, 0.715, 0.537], [0.838, 0.504, 0.820], [0.162, 0.180, 0.496], [0.626, 0.463, 0.285]]
}

***

## B
{
  "formula": "Na2Hg7Pb2",
  "functional": "GGA-PBE",
  "state": "optimized geometry",
  "spacegroup": "C2/m, No. 12",
  "vol_a3_per_atom": 27.7,
  "cell": [[5.382, 0.017, 0.588], [0.708, 7.492, 1.047], [0.015, 0.172, 7.596]],
  "species": ["Hg", "Na", "Hg", "Hg", "Na", "Hg", "Pb", "Pb", "Hg", "Hg", "Hg"],
  "fractional_positions": [[0.734, 0.551, 0.551], [0.231, 0.735, 0.735], [0.271, 0.403, 0.049], [0.729, 0.951, 0.597], [0.769, 0.265, 0.265], [0.266, 0.449, 0.449], [0.000, 0.817, 0.183], [0.000, 0.183, 0.817], [0.271, 0.049, 0.403], [0.500, 0.000, 0.000], [0.729, 0.597, 0.951]]
}

***

In kJ/mol of atoms, relative to the most stable structure: A 1.0; B 0.0.

***

## A
{
  "formula": "Na3Hg4Pb",
  "functional": "GGA-PBE",
  "state": "optimized geometry",
  "spacegroup": "Immm, No. 71",
  "vol_a3_per_atom": 27.6,
  "cell": [[-1.644, -2.640, 1.193], [-0.046, -4.137, -9.221], [6.558, 0.420, 5.318]],
  "species": ["Hg", "Hg", "Hg", "Na", "Pb", "Na", "Na", "Hg"],
  "fractional_positions": [[0.626, 0.856, 0.253], [0.374, 0.144, 0.747], [0.374, 0.603, 0.747], [0.000, 0.500, 0.000], [0.500, 0.000, 0.000], [0.221, 0.221, 0.441], [0.779, 0.779, 0.559], [0.626, 0.397, 0.253]]
}

***

## B
{
  "formula": "Na3Hg4Pb",
  "functional": "GGA-PBE",
  "state": "optimized geometry",
  "spacegroup": "Pmma, No. 51",
  "vol_a3_per_atom": 26.1,
  "cell": [[5.433, 0.000, 0.000], [0.000, 7.163, 0.000], [0.000, 0.000, 10.749]],
  "species": ["Na", "Na", "Hg", "Na", "Pb", "Pb", "Na", "Hg", "Hg", "Hg", "Hg", "Hg", "Na", "Hg", "Na", "Hg"],
  "fractional_positions": [[0.416, 0.000, 0.250], [0.588, 0.500, 0.750], [0.096, 0.759, 0.750], [0.000, 0.000, 0.000], [0.000, 0.500, 0.000], [0.000, 0.500, 0.500], [0.584, 0.000, 0.750], [0.500, 0.243, 0.000], [0.500, 0.243, 0.500], [0.500, 0.757, 0.000], [0.904, 0.241, 0.250], [0.096, 0.241, 0.750], [0.000, 0.000, 0.500], [0.904, 0.759, 0.250], [0.412, 0.500, 0.250], [0.500, 0.757, 0.500]]
}

***

In kJ/mol of atoms, relative to the most stable structure: A 4.2; B 0.0.

***

## A
{
  "formula": "Na6HgPb",
  "functional": "GGA-PBE",
  "state": "optimized geometry",
  "spacegroup": "P-1, No. 2",
  "vol_a3_per_atom": 29.7,
  "cell": [[8.723, -0.017, 0.080], [4.328, 7.569, 0.044], [4.362, 2.545, 3.639]],
  "species": ["Na", "Na", "Na", "Na", "Hg", "Pb", "Na", "Na"],
  "fractional_positions": [[0.001, 0.502, 0.744], [0.999, 0.498, 0.256], [0.499, 0.753, 0.746], [0.501, 0.247, 0.254], [0.500, 0.500, 0.500], [0.000, 0.000, 0.000], [0.247, 0.998, 0.256], [0.753, 0.002, 0.744]]
}

***

## B
{
  "formula": "Na6HgPb",
  "functional": "GGA-PBE",
  "state": "optimized geometry",
  "spacegroup": "P4/mmm, No. 123",
  "vol_a3_per_atom": 29.6,
  "cell": [[4.974, 0.000, 0.000], [0.000, 4.974, 0.000], [0.000, 0.000, 9.567]],
  "species": ["Na", "Na", "Na", "Na", "Pb", "Hg", "Na", "Na"],
  "fractional_positions": [[0.500, 0.000, 0.247], [0.000, 0.500, 0.753], [0.000, 0.500, 0.247], [0.500, 0.000, 0.753], [0.000, 0.000, 0.500], [0.000, 0.000, 0.000], [0.500, 0.500, 0.500], [0.500, 0.500, 0.000]]
}

***

In kJ/mol of atoms, relative to the most stable structure: A 0.0; B 1.1.